Material: Er8Cu2Pd
Method: DFT, PBE
State: relaxed

Values from the calculation:
**Distance to the lowest polymorph of the same formula**: 0 meV/atom
**E_form**: -0.241 eV per atom
**Space group**: C2/m, No. 12
**Calculated total energy**: -4.78 eV per atom

a = 8.979 Å, b = 8.979 Å, c = 6.656 Å
α = 105.75°, β = 105.75°, γ = 32.55°
Element x y z (fractional)
Er  0.032  0.032  0.284
Er  0.201  0.201  0.829
Er  0.331  0.331  0.519
Er  0.408  0.408  0.047
Er  0.592  0.592  0.953
Er  0.669  0.669  0.481
Er  0.799  0.799  0.171
Er  0.968  0.968  0.716
Cu  0.184  0.184  0.225
Cu  0.816  0.816  0.775
Pd  0.500  0.500  0.500

Material: ErCu2Pd
Method: DFT, PBE
State: relaxed

Values from the calculation:
**E_form**: -0.362 eV per atom
**Space group**: Fm-3m, No. 225
**Calculated total energy**: -4.85 eV per atom

a = 4.537 Å, b = 4.537 Å, c = 4.537 Å
α = 60.00°, β = 60.00°, γ = 60.00°
Element x y z (fractional)
Er  0.000  0.000  0.000
Cu  0.250  0.250  0.250
Cu  0.750  0.750  0.750
Pd  0.500  0.500  0.500

Material: ErCu3Pd7
Method: DFT, PBE
State: relaxed

Values from the calculation:
**E_form**: -0.106 eV per atom
**Space group**: C2/m, No. 12
**Calculated total energy**: -4.94 eV per atom

a = 6.254 Å, b = 6.254 Å, c = 5.110 Å
α = 105.36°, β = 105.36°, γ = 95.25°
Element x y z (fractional)
Er  0.000  0.000  0.000
Cu  0.272  0.728  0.500
Cu  0.500  0.500  0.000
Cu  0.728  0.272  0.500
Pd  0.000  0.000  0.500
Pd  0.093  0.543  0.808
Pd  0.321  0.321  0.441
Pd  0.457  0.907  0.192
Pd  0.543  0.093  0.808
Pd  0.679  0.679  0.559
Pd  0.907  0.457  0.192

Material: ErCu6Pd6
Method: DFT, PBE
State: relaxed

Values from the calculation:
**E_form**: -0.340 eV per atom
**Space group**: Immm, No. 71
**Calculated total energy**: -4.98 eV per atom

a = 6.664 Å, b = 6.664 Å, c = 6.664 Å
α = 136.07°, β = 99.35°, γ = 96.74°
Element x y z (fractional)
Er  0.000  0.000  0.000
Cu  0.000  0.000  0.500
Cu  0.000  0.500  0.000
Cu  0.238  0.738  0.500
Cu  0.500  0.000  0.000
Cu  0.500  0.500  0.500
Cu  0.762  0.262  0.500
Pd  0.186  0.500  0.686
Pd  0.341  0.000  0.341
Pd  0.347  0.347  0.000
Pd  0.653  0.653  0.000
Pd  0.659  0.000  0.659
Pd  0.814  0.500  0.314

Material: Er3Cu2Pd5
Method: DFT, PBE
State: relaxed

Values from the calculation:
**E_form**: -0.729 eV per atom
**Space group**: P4/mbm, No. 127
**Calculated total energy**: -5.51 eV per atom

a = 9.573 Å, b = 9.573 Å, c = 3.946 Å
α = 90.00°, β = 90.00°, γ = 90.00°
Element x y z (fractional)
Er  0.000  0.000  0.000
Er  0.173  0.327  0.000
Er  0.327  0.827  0.000
Er  0.500  0.500  0.000
Er  0.673  0.173  0.000
Er  0.827  0.673  0.000
Cu  0.120  0.620  0.000
Cu  0.380  0.120  0.000
Cu  0.620  0.880  0.000
Cu  0.880  0.380  0.000
Pd  0.000  0.500  0.500
Pd  0.074  0.790  0.500
Pd  0.210  0.074  0.500
Pd  0.290  0.574  0.500
Pd  0.426  0.290  0.500
Pd  0.500  0.000  0.500
Pd  0.574  0.710  0.500
Pd  0.710  0.426  0.500
Pd  0.790  0.926  0.500
Pd  0.926  0.210  0.500

Material: Er2CuPd2
Method: DFT, PBE
State: relaxed

Values from the calculation:
**E_form**: -0.723 eV per atom
**Space group**: C2/c, No. 15
**Calculated total energy**: -5.44 eV per atom

a = 5.648 Å, b = 5.648 Å, c = 7.512 Å
α = 104.55°, β = 104.55°, γ = 59.29°
Element x y z (fractional)
Er  0.018  0.284  0.149
Er  0.284  0.018  0.649
Er  0.716  0.982  0.351
Er  0.982  0.716  0.851
Cu  0.287  0.713  0.250
Cu  0.713  0.287  0.750
Pd  0.247  0.497  0.507
Pd  0.497  0.247  0.007
Pd  0.503  0.753  0.993
Pd  0.753  0.503  0.493

Material: Er12Cu6Pd
Method: DFT, PBE
State: relaxed

Values from the calculation:
**E_form**: -0.037 eV per atom
**Space group**: R-3, No. 148
**Calculated total energy**: -4.49 eV per atom

a = 8.069 Å, b = 8.069 Å, c = 8.069 Å
α = 98.60°, β = 98.60°, γ = 98.60°
Element x y z (fractional)
Er  0.043  0.673  0.911
Er  0.089  0.957  0.326
Er  0.188  0.415  0.565
Er  0.327  0.089  0.957
Er  0.415  0.565  0.188
Er  0.435  0.812  0.585
Er  0.565  0.188  0.415
Er  0.585  0.435  0.812
Er  0.674  0.911  0.043
Er  0.812  0.585  0.435
Er  0.911  0.043  0.673
Er  0.957  0.326  0.089
Cu  0.129  0.624  0.312
Cu  0.312  0.129  0.624
Cu  0.376  0.688  0.871
Cu  0.624  0.312  0.129
Cu  0.688  0.871  0.376
Cu  0.871  0.376  0.688
Pd  0.000  0.000  0.000

Material: Er2CuPd9
Method: DFT, PBE
State: relaxed

Values from the calculation:
**E_form**: -0.597 eV per atom
**Space group**: P4/mmm, No. 123
**Calculated total energy**: -5.59 eV per atom

a = 4.060 Å, b = 4.060 Å, c = 12.014 Å
α = 90.00°, β = 90.00°, γ = 90.00°
Element x y z (fractional)
Er  0.000  0.000  0.174
Er  0.000  0.000  0.826
Cu  0.000  0.000  0.500
Pd  0.000  0.500  0.000
Pd  0.000  0.500  0.346
Pd  0.000  0.500  0.654
Pd  0.500  0.000  0.000
Pd  0.500  0.000  0.346
Pd  0.500  0.000  0.654
Pd  0.500  0.500  0.172
Pd  0.500  0.500  0.500
Pd  0.500  0.500  0.828

Material: Er3CuPd2
Method: DFT, PBE
State: relaxed

Values from the calculation:
**E_form**: -0.706 eV per atom
**Space group**: P-3m1, No. 164
**Calculated total energy**: -5.40 eV per atom

a = 4.900 Å, b = 4.900 Å, c = 12.038 Å
α = 90.00°, β = 90.00°, γ = 120.00°
Element x y z (fractional)
Er  0.000  0.000  0.249
Er  0.000  0.000  0.751
Er  0.333  0.667  0.416
Er  0.333  0.667  0.917
Er  0.667  0.333  0.083
Er  0.667  0.333  0.584
Cu  0.333  0.667  0.166
Cu  0.667  0.333  0.834
Pd  0.000  0.000  0.000
Pd  0.000  0.000  0.500
Pd  0.333  0.667  0.668
Pd  0.667  0.333  0.332

Material: Er6Cu5Pd
Method: DFT, PBE
State: relaxed

Values from the calculation:
**E_form**: -0.390 eV per atom
**Space group**: Cmmm, No. 65
**Calculated total energy**: -4.81 eV per atom

a = 7.718 Å, b = 7.718 Å, c = 6.879 Å
α = 90.00°, β = 90.00°, γ = 143.23°
Element x y z (fractional)
Er  0.000  0.000  0.249
Er  0.000  0.000  0.751
Er  0.333  0.667  0.249
Er  0.333  0.667  0.751
Er  0.667  0.333  0.249
Er  0.667  0.333  0.751
Cu  0.166  0.834  0.000
Cu  0.169  0.831  0.500
Cu  0.500  0.500  0.000
Cu  0.831  0.169  0.500
Cu  0.834  0.166  0.000
Pd  0.500  0.500  0.500

Material: ErCu3Pd6
Method: DFT, PBE
State: relaxed

Values from the calculation:
**E_form**: -0.366 eV per atom
**Space group**: P2_1/m, No. 11
**Calculated total energy**: -5.17 eV per atom

a = 7.470 Å, b = 4.478 Å, c = 9.798 Å
α = 90.00°, β = 110.18°, γ = 90.00°
Element x y z (fractional)
Er  0.071  0.250  0.376
Er  0.929  0.750  0.624
Cu  0.257  0.250  0.978
Cu  0.344  0.750  0.835
Cu  0.484  0.250  0.586
Cu  0.516  0.750  0.414
Cu  0.656  0.250  0.165
Cu  0.743  0.750  0.022
Pd  0.050  0.750  0.928
Pd  0.143  0.750  0.224
Pd  0.188  0.250  0.692
Pd  0.263  0.750  0.541
Pd  0.372  0.250  0.268
Pd  0.443  0.750  0.113
Pd  0.557  0.250  0.887
Pd  0.628  0.750  0.732
Pd  0.737  0.250  0.459
Pd  0.812  0.750  0.308
Pd  0.857  0.250  0.776
Pd  0.950  0.250  0.072

Material: Er3Cu4Pd2
Method: DFT, PBE
State: relaxed

Values from the calculation:
**E_form**: -0.483 eV per atom
**Space group**: C2/m, No. 12
**Calculated total energy**: -4.98 eV per atom

a = 5.548 Å, b = 5.548 Å, c = 8.267 Å
α = 111.04°, β = 111.04°, γ = 45.68°
Element x y z (fractional)
Er  0.000  0.000  0.000
Er  0.331  0.331  0.338
Er  0.669  0.669  0.662
Cu  0.049  0.049  0.391
Cu  0.276  0.276  0.953
Cu  0.724  0.724  0.047
Cu  0.951  0.951  0.609
Pd  0.390  0.390  0.729
Pd  0.610  0.610  0.271

Which of these has the lowest calculated total energy? Er2CuPd9